This record from the Alexandria database describes a relaxed VZnO2 crystal. The functional is PBE+U.

Cell lengths 2.9595, 7.7270, 9.6260 Å; angles 95.04, 90.25, 101.07 degrees
Last column: magnetic moment on the atom in μB.
Sites, in units of the cell vectors:
V 0.4999 0.5145 0.7396  1.80
V 0.8284 0.1619 0.5253  1.89
V 0.4618 0.4357 0.2960  1.22
V 0.1473 0.7980 0.5178  1.89
Zn 0.1324 0.8103 0.9939  0.00
Zn 0.6633 0.8676 0.2095  0.01
Zn 0.2852 0.0767 0.8373  0.00
Zn 0.9062 0.3253 0.9649  0.00
O 0.7059 0.9180 0.4091  -0.02
O 0.6010 0.7077 0.6308  -0.07
O 0.9367 0.3745 0.6516  -0.07
O 0.3720 0.2553 0.4006  -0.08
O 0.2739 0.0462 0.6303  -0.02
O 0.0200 0.5765 0.8847  -0.03
O 0.0405 0.5905 0.3693  -0.06
O 0.9331 0.3807 0.1650  -0.04

Output
- Magnetization: 1.68 μB per formula unit
- Raw total energy: -6.15 eV/atom
- D(E_F): 4.3 states/eV per cell
- Symmetry: No. 1